First-principles (GGA-PBE) data for an optimized crystal structure of Pm5HfGe6, as listed in Alexandria.

DFT total energy	-5.775	eV/atom
D(E_F)	0.656	states/eV/atom
ΔH_f (0 K)	-0.658	eV/atom

Lattice parameters (Å, degrees): 7.256 7.233 7.258 60.11 80.34 70.33
Positions (direct):
1 Pm 0.500 0.174 0.651
2 Pm 0.000 0.335 0.330
3 Pm 0.500 0.500 0.000
4 Pm 0.500 0.826 0.349
5 Pm 0.000 0.665 0.670
6 Ge 0.240 0.229 0.000
7 Ge 0.765 0.077 0.313
8 Ge 0.235 0.610 0.313
9 Ge 0.235 0.923 0.687
10 Ge 0.760 0.771 0.000
11 Ge 0.765 0.390 0.687
12 Hf 0.000 0.000 0.000


First-principles (GGA-PBE) data for an optimized crystal structure of NaAgPd2F6, as listed in Alexandria.

DFT total energy	-4.014	eV/atom
energy relative to the elements, uncorrected	-1436	meV/atom

Lattice parameters (Å, degrees): 5.869 5.867 5.963 90.00 119.46 120.00
Positions (direct):
1 F 0.103 0.165 0.646
2 F 0.103 0.453 0.159
3 F 0.722 0.557 0.646
4 F 0.525 0.070 0.159
5 F 0.719 0.648 0.159
6 F 0.495 0.937 0.645
7 Pd 0.607 0.803 0.396
8 Pd 0.599 0.299 0.883
9 Na 0.031 0.515 0.532
10 Ag 0.062 0.031 0.079


First-principles (GGA-PBE) data for an optimized crystal structure of NbV3Si, as listed in Alexandria.

DFT total energy	-7.913	eV/atom
D(E_F)	1.310	states/eV/atom
energy relative to the elements, uncorrected	657	meV/atom

Lattice parameters (Å, degrees): 4.376 4.376 4.376 90.00 90.00 90.00
Positions (direct):
1 Si 0.000 0.000 0.000
2 Nb 0.500 0.500 0.500
3 V 0.000 0.000 0.500
4 V 0.500 0.000 0.000
5 V 0.000 0.500 0.000